No. 1
A relaxed TaAlPd5 crystal, computed with PBE-GGA.

Unit cell a=9.563 b=9.304 c=6.710 alpha=90.00 beta=120.00 gamma=90.00
Space group C2/c (No. 15)
Inequivalent atoms, fractional coordinates:
1 Ta 0.000 0.040 0.250 (multiplicity 4)
2 Al 0.000 0.500 0.000 (multiplicity 4)
3 Pd 0.000 0.316 0.250 (multiplicity 4)
4 Pd 0.112 0.195 0.989 (multiplicity 8)
5 Pd 0.209 0.098 0.677 (multiplicity 8)

Values from the calculation:
Offset from the most stable computed form = 301 kJ/mol of formula units

No. 2
A relaxed V6CrC crystal, computed with PBE-GGA.

Unit cell a=4.389 b=4.903 c=5.006 alpha=96.50 beta=111.29 gamma=90.88
Space group P-1 (No. 2)
Inequivalent atoms, fractional coordinates:
1 V 0.058 0.286 0.142 (multiplicity 2)
2 V 0.204 0.854 0.441 (multiplicity 2)
3 V 0.425 0.399 0.751 (multiplicity 2)
4 Cr 0.500 0.000 0.000 (multiplicity 1)
5 C 0.000 0.500 0.500 (multiplicity 1)

Listing energy of formation for the structures above in their given order: -0.1229 -0.1063 eV per atom.